VASP calculation (PBE) on a relaxed structure of Er2MgAg.

Summary:
Theoretical density, g/cm3: 7.8
Excess energy over the best structure of this formula in the dataset, meV/atom: 41
Total energy, eV/atom: -3.54
ΔE_f, eV per atom: -0.146
D(E_F), states/eV per cell: 4.3

abc: 5.202 5.202 5.202
angles: 60.00 60.00 60.00
Fractional coordinates of all 4 atoms:
Er: 0.250 0.250 0.250
Er: 0.750 0.750 0.750
Mg: 0.000 0.000 0.000
Ag: 0.500 0.500 0.500